DFT (PBE) results for a geometry-optimized YGe2Ir structure.

a b c (Å): 9.5165 9.5165 9.5165
angles (deg): 154.11 124.08 62.61
Atoms (fractional coordinates):
Y 0.2955 0.7955 0.5000
Y 0.2656 0.0000 0.2656
Y 0.7344 0.0000 0.7344
Y 0.7045 0.2045 0.5000
Ge 0.5768 0.5768 0.0000
Ge 0.9506 0.7980 0.1526
Ge 0.6453 0.7980 0.8474
Ge 0.0494 0.2020 0.8474
Ge 0.9217 0.4217 0.5000
Ge 0.4232 0.4232 0.0000
Ge 0.0783 0.5783 0.5000
Ge 0.3547 0.2020 0.1526
Ir 0.8964 0.6453 0.2511
Ir 0.1036 0.3547 0.7489
Ir 0.6059 0.3547 0.2511
Ir 0.3941 0.6453 0.7489

Output
Energy of formation from the pure elements: -804 meV/atom
M_tot: 0.00 μB per cell
DOS at the Fermi energy: 0.47 states/eV per atom

DFT (PBE) results for a geometry-optimized YGe4Ir4 structure.

a b c (Å): 4.1427 8.6667 8.6667
angles (deg): 90.00 90.00 90.00
Atoms (fractional coordinates):
Y 0.0000 0.0000 0.0000
Y 0.5000 0.5000 0.5000
Ge 0.5000 0.8605 0.2207
Ge 0.5000 0.1395 0.7793
Ge 0.0000 0.7207 0.6395
Ge 0.0000 0.3605 0.7207
Ge 0.0000 0.6395 0.2793
Ge 0.5000 0.2207 0.1395
Ge 0.5000 0.7793 0.8605
Ge 0.0000 0.2793 0.3605
Ir 0.5000 0.4318 0.8626
Ir 0.0000 0.6374 0.9318
Ir 0.5000 0.5682 0.1374
Ir 0.0000 0.0682 0.6374
Ir 0.5000 0.8626 0.5682
Ir 0.0000 0.9318 0.3626
Ir 0.0000 0.3626 0.0682
Ir 0.5000 0.1374 0.4318

Output
Energy of formation from the pure elements: -326 meV/atom
M_tot: 0.00 μB per cell
DOS at the Fermi energy: 0.40 states/eV per atom

DFT (PBE) results for a geometry-optimized YGe3Ir5 structure.

a b c (Å): 4.0606 6.7740 12.1957
angles (deg): 90.00 90.00 107.44
Atoms (fractional coordinates):
Y 0.7895 0.5791 0.7500
Y 0.2105 0.4209 0.2500
Ge 0.3862 0.7723 0.9390
Ge 0.8988 0.7976 0.2500
Ge 0.3862 0.7723 0.5610
Ge 0.6138 0.2277 0.4390
Ge 0.1012 0.2024 0.7500
Ge 0.6138 0.2277 0.0610
Ir 0.7970 0.5941 0.4274
Ir 0.2030 0.4059 0.9274
Ir 0.0000 0.0000 0.5000
Ir 0.0000 0.0000 0.0000
Ir 0.4354 0.8708 0.1383
Ir 0.5646 0.1292 0.8618
Ir 0.5646 0.1292 0.6382
Ir 0.7970 0.5941 0.0726
Ir 0.2030 0.4059 0.5726
Ir 0.4354 0.8708 0.3618

Output
Energy of formation from the pure elements: -326 meV/atom
M_tot: 0.00 μB per cell
DOS at the Fermi energy: 0.71 states/eV per atom

DFT (PBE) results for a geometry-optimized Y2ZnGe2Ir5 structure.

a b c (Å): 3.6023 9.7153 9.7153
angles (deg): 90.00 90.00 90.00
Atoms (fractional coordinates):
Y 0.0000 0.6733 0.1733
Y 0.0000 0.3267 0.8267
Y 0.0000 0.1733 0.3267
Y 0.0000 0.8267 0.6733
Zn 0.0000 0.0000 0.0000
Zn 0.0000 0.5000 0.5000
Ge 0.0000 0.1270 0.6270
Ge 0.0000 0.8730 0.3730
Ge 0.0000 0.6270 0.8730
Ge 0.0000 0.3730 0.1270
Ir 0.5000 0.2044 0.0645
Ir 0.5000 0.7956 0.9355
Ir 0.5000 0.0645 0.7956
Ir 0.5000 0.7044 0.4355
Ir 0.5000 0.9355 0.2044
Ir 0.5000 0.2956 0.5645
Ir 0.5000 0.5645 0.7044
Ir 0.5000 0.4355 0.2956
Ir 0.5000 0.5000 0.0000
Ir 0.5000 0.0000 0.5000

Output
Energy of formation from the pure elements: -571 meV/atom
M_tot: 0.00 μB per cell
DOS at the Fermi energy: 0.17 states/eV per atom